[1]
This record from the Alexandria database describes an optimized crystal structure of RbAgS. The functional is GGA-PBE.

calculated density: 3.562 g/cm3
density of states at the Fermi level: 0.1 states/eV/f.u.
total energy: -3.104 eV/atom
raw formation energy: -0.456 eV per atom

The structure in CIF format:
```
data_RbAgS
_symmetry_space_group_name_H-M 'P 32 1 2'
_symmetry_Int_Tables_number 153
_cell_length_a 8.9611
_cell_length_b 8.9611
_cell_length_c 4.5325
_cell_angle_alpha 90.00
_cell_angle_beta 90.00
_cell_angle_gamma 120.00
loop_
_symmetry_equiv_pos_as_xyz
'x,y,z'
'-y,x-y,z+2/3'
'-x+y,-x,z+1/3'
'-y,-x,-z+1/3'
'-x+y,y,-z+2/3'
'x,x-y,-z'
loop_
_atom_site_label
_atom_site_type_symbol
_atom_site_fract_x
_atom_site_fract_y
_atom_site_fract_z
Rb1 Rb 0.0132 0.5066 0.0000
Ag1 Ag 0.1756 0.0878 0.0000
S1 S 0.1451 0.2903 0.3333
```

***

[2]
This record from the Alexandria database describes an optimized crystal structure of SrZnN. The functional is GGA-PBE.

calculated density: 5.168 g/cm3
density of states at the Fermi level: 1.0 states/eV/f.u.
total energy: -4.083 eV/atom
raw formation energy: -0.323 eV per atom

The structure in CIF format:
```
data_SrZnN
_symmetry_space_group_name_H-M 'P n m a'
_symmetry_Int_Tables_number 62
_cell_length_a 6.2633
_cell_length_b 4.0422
_cell_length_c 8.4803
_cell_angle_alpha 90.00
_cell_angle_beta 90.00
_cell_angle_gamma 90.00
loop_
_symmetry_equiv_pos_as_xyz
'x,y,z'
'-x,-y,-z'
'-x+1/2,-y,z+1/2'
'x+1/2,y,-z+1/2'
'x+1/2,-y+1/2,-z+1/2'
'-x+1/2,y+1/2,z+1/2'
'-x,y+1/2,-z'
'x,-y+1/2,z'
loop_
_atom_site_label
_atom_site_type_symbol
_atom_site_fract_x
_atom_site_fract_y
_atom_site_fract_z
Sr1 Sr 0.1242 0.2500 0.1370
Zn1 Zn 0.0354 0.7500 0.3847
N1 N 0.1483 0.2500 0.8167
```

***

[3]
This record from the Alexandria database describes an optimized crystal structure of MnGaI5. The functional is GGA-PBE.

calculated density: 3.465 g/cm3
total energy: -3.189 eV/atom
raw formation energy: -0.340 eV per atom

The structure in CIF format:
```
data_MnGaI5
_symmetry_space_group_name_H-M 'P n m a'
_symmetry_Int_Tables_number 62
_cell_length_a 17.9864
_cell_length_b 8.1488
_cell_length_c 9.9301
_cell_angle_alpha 90.00
_cell_angle_beta 90.00
_cell_angle_gamma 90.00
loop_
_symmetry_equiv_pos_as_xyz
'x,y,z'
'-x,-y,-z'
'-x+1/2,-y,z+1/2'
'x+1/2,y,-z+1/2'
'x+1/2,-y+1/2,-z+1/2'
'-x+1/2,y+1/2,z+1/2'
'-x,y+1/2,-z'
'x,-y+1/2,z'
loop_
_atom_site_label
_atom_site_type_symbol
_atom_site_fract_x
_atom_site_fract_y
_atom_site_fract_z
Mn1 Mn 0.0107 0.2500 0.1849
Ga1 Ga 0.1504 0.7500 0.4435
I1 I 0.0000 0.0000 0.0000
I2 I 0.0929 0.0329 0.3746
I3 I 0.1316 0.7500 0.7117
I4 I 0.2112 0.2500 0.9021
```

***

[4]
This record from the Alexandria database describes an optimized crystal structure of CaGa2PO6. The functional is GGA-PBE.

calculated density: 3.929 g/cm3
density of states at the Fermi level: 1.2 states/eV/f.u.
total energy: -6.328 eV/atom
raw formation energy: -2.007 eV per atom

The structure in CIF format:
```
data_CaGa2PO6
_symmetry_space_group_name_H-M 'C 1 2/c 1'
_symmetry_Int_Tables_number 15
_cell_length_a 10.8704
_cell_length_b 8.5979
_cell_length_c 6.2380
_cell_angle_alpha 90.00
_cell_angle_beta 117.29
_cell_angle_gamma 90.00
loop_
_symmetry_equiv_pos_as_xyz
'x,y,z'
'-x,-y,-z'
'-x,y,-z+1/2'
'x,-y,z+1/2'
'x+1/2,y+1/2,z'
'-x+1/2,-y+1/2,-z'
'-x+1/2,y+1/2,-z+1/2'
'x+1/2,-y+1/2,z+1/2'
loop_
_atom_site_label
_atom_site_type_symbol
_atom_site_fract_x
_atom_site_fract_y
_atom_site_fract_z
Ca1 Ca 0.0000 0.1877 0.2500
Ga1 Ga 0.2105 0.4326 0.1670
P1 P 0.0000 0.2132 0.7500
O1 O 0.0925 0.1011 0.6727
O2 O 0.1228 0.2411 0.0397
O3 O 0.1705 0.4234 0.4275
```